# 1
The following is a GGA-PBE calculation of BaSm2Sb2 after structural relaxation, from OQMD.

Calculated values
Its space group is P6_3/mmc. The theoretical density comes out at 5.85 g/cm³. For the total energy, the calculation gives -4.755 eV per atom.

a b c (Å): 5.0602 5.0602 17.4539
angles (deg): 90.00 90.00 120.00
Sites, in units of the cell vectors:
1 Ba 0.0000 0.0000 0.2500
2 Ba 0.0000 0.0000 0.7500
3 Sm 0.3333 0.6667 0.0649
4 Sm 0.3333 0.6667 0.4351
5 Sm 0.6667 0.3333 0.5649
6 Sm 0.6667 0.3333 0.9351
7 Sb 0.3333 0.6667 0.6249
8 Sb 0.3333 0.6667 0.8751
9 Sb 0.6667 0.3333 0.1249
10 Sb 0.6667 0.3333 0.3751

***

# 2
The following is a GGA-PBE calculation of BeTcTe2 after structural relaxation, from OQMD.

Calculated values
Its space group is F-43m. The theoretical density comes out at 7.90 g/cm³. For the total energy, the calculation gives -4.076 eV per atom.

a b c (Å): 6.7267 6.7267 6.7267
angles (deg): 90.00 90.00 90.00
Sites, in units of the cell vectors:
1 Be 0.0000 0.0000 0.0000
2 Be 0.0000 0.5000 0.5000
3 Be 0.5000 0.0000 0.5000
4 Be 0.5000 0.5000 0.0000
5 Tc 0.2500 0.2500 0.7500
6 Tc 0.2500 0.7500 0.2500
7 Tc 0.7500 0.2500 0.2500
8 Tc 0.7500 0.7500 0.7500
9 Te 0.0000 0.0000 0.5000
10 Te 0.0000 0.5000 0.0000
11 Te 0.2500 0.2500 0.2500
12 Te 0.2500 0.7500 0.7500
13 Te 0.5000 0.0000 0.0000
14 Te 0.5000 0.5000 0.5000
15 Te 0.7500 0.2500 0.7500
16 Te 0.7500 0.7500 0.2500

***

# 3
The following is a GGA-PBE calculation of Hf4Ta2Co3C3 after structural relaxation, from OQMD.

Calculated values
Its space group is C2/c. The theoretical density comes out at 12.63 g/cm³. For the total energy, the calculation gives -9.796 eV per atom.

a b c (Å): 5.4949 5.4949 13.3431
angles (deg): 101.90 101.90 60.03
Sites, in units of the cell vectors:
1 Hf 0.0378 0.1998 0.1070
2 Hf 0.1286 0.2982 0.3929
3 Hf 0.1998 0.0378 0.6070
4 Hf 0.2982 0.1286 0.8929
5 Hf 0.7018 0.8714 0.1071
6 Hf 0.8002 0.9622 0.3930
7 Hf 0.8714 0.7018 0.6071
8 Hf 0.9622 0.8002 0.8930
9 Ta 0.3615 0.5311 0.0936
10 Ta 0.4689 0.6385 0.4064
11 Ta 0.5311 0.3615 0.5936
12 Ta 0.6385 0.4689 0.9064
13 Co 0.1252 0.8748 0.2500
14 Co 0.2926 0.4181 0.7500
15 Co 0.4181 0.2926 0.2500
16 Co 0.5819 0.7074 0.7500
17 Co 0.7074 0.5819 0.2500
18 Co 0.8748 0.1252 0.7500
19 C 0.0000 0.5000 0.0000
20 C 0.1712 0.6645 0.5000
21 C 0.3355 0.8288 0.0000
22 C 0.5000 0.0000 0.5000
23 C 0.6645 0.1712 0.0000
24 C 0.8288 0.3355 0.5000

***

# 4
The following is a GGA-PBE calculation of CsSmY after structural relaxation, from OQMD.

Calculated values
Its space group is F-43m. The theoretical density comes out at 3.78 g/cm³. For the total energy, the calculation gives -2.773 eV per atom.

a b c (Å): 8.6802 8.6802 8.6802
angles (deg): 90.00 90.00 90.00
Sites, in units of the cell vectors:
1 Cs 0.0000 0.0000 0.0000
2 Cs 0.0000 0.5000 0.5000
3 Cs 0.5000 0.0000 0.5000
4 Cs 0.5000 0.5000 0.0000
5 Sm 0.2500 0.2500 0.2500
6 Sm 0.2500 0.7500 0.7500
7 Sm 0.7500 0.2500 0.7500
8 Sm 0.7500 0.7500 0.2500
9 Y 0.0000 0.0000 0.5000
10 Y 0.0000 0.5000 0.0000
11 Y 0.5000 0.0000 0.0000
12 Y 0.5000 0.5000 0.5000